[1]
Compound: SiTeSe2
Source: Alexandria
Functional: PBE-GGA
Structure: relaxed

abc: 7.145 7.145 6.534
angles: 56.86 56.86 90.00
Fractional coordinates of all 8 atoms:
Si  0.500  0.500  0.000
Si  0.250  0.750  0.500
Te  0.000  0.000  0.000
Te  0.750  0.250  0.500
Se  0.564  0.125  0.250
Se  0.186  0.625  0.250
Se  0.375  0.436  0.750
Se  0.875  0.814  0.750

Output
* crystal system: tetragonal

***

[2]
Compound: SiTeSe2
Source: Alexandria
Functional: PBE-GGA
Structure: relaxed

abc: 3.799 7.521 3.950
angles: 90.00 90.00 90.00
Fractional coordinates of all 4 atoms:
Se  0.000  0.000  0.000
Se  0.500  0.500  0.000
Si  0.500  0.000  0.500
Te  0.000  0.500  0.500

Output
* crystal system: orthorhombic

***

[3]
Compound: SiTeSe2
Source: Alexandria
Functional: PBE-GGA
Structure: relaxed

abc: 3.026 3.026 10.590
angles: 90.00 90.00 104.54
Fractional coordinates of all 4 atoms:
Se  0.000  0.000  0.004
Se  0.500  0.500  0.312
Si  0.000  0.000  0.474
Te  0.500  0.500  0.710

Output
* crystal system: orthorhombic

***

no.,distance to the lowest polymorph of the same formula (eV per formula unit),magnetization (μB per atom)
1,1.63,0.000
2,2.19,0.000
3,2.52,0.000